! PBE-GGA Nb2VCrH, relaxed; values from VASP
&SYSTEM
  ibrav = 0, nat = 5, ntyp = 4
/
ATOMIC_SPECIES
Cr 52.00 Cr.upf
Nb 92.91 Nb.upf
H 1.01 H.upf
V 50.94 V.upf
ATOMIC_POSITIONS angstrom
Cr 2.195 2.195 1.672
Nb 0.000 2.195 0.000
Nb 2.195 0.000 0.000
H 0.000 0.000 0.000
V 0.000 0.000 1.672
CELL_PARAMETERS angstrom
4.389 0.000 0.000
0.000 4.389 0.000
0.000 0.000 3.344
! density of states at the Fermi level	3.58	states/eV/f.u.
! DFT total energy	-8.4335	eV per atom
! spin magnetization	0.0	μB/f.u.